Density functional theory data (GGA-PBE) for an optimized crystal structure of CoTe3Au.

Cell: 5.0052 5.0052 5.0052 Å, 90.00 90.00 90.00°
With the nearest neighbours (Å) after each atom.
Positions (direct):
Te 0.0000 0.5000 0.0000  2 Co 2.50
Te 0.5000 0.0000 0.0000  2 Co 2.50
Te 0.0000 0.0000 0.5000  2 Co 2.50
Au 0.5000 0.5000 0.5000  12 Te 3.54
Co 0.0000 0.0000 0.0000  6 Te 2.50

Values from the calculation:
ρ   8.5 g/cm3
Formation energy without anion corrections   0.5272 eV/atom